5
Lattice="4.214 0.000 0.000 0.000 4.214 0.000 0.000 0.000 4.849" Properties=species:S:1:pos:R:3 comment="Mn2CrCoAu | the Alexandria database | PBE | optimized geometry" dos_at_fermi_per_ev_fu=6.43 rho_g_cm3=8.06 space_group=P4/mmm pbc="T T T"
Mn 0.000 2.107 0.000
Mn 2.107 0.000 0.000
Cr 0.000 0.000 0.000
Co 2.107 2.107 2.424
Au 0.000 0.000 2.424

***

5
Lattice="4.107 0.000 0.000 0.000 4.107 0.000 0.000 0.000 4.782" Properties=species:S:1:pos:R:3 comment="MnCrCo2Au | the Alexandria database | PBE | optimized geometry" dos_at_fermi_per_ev_fu=10.34 rho_g_cm3=8.68 space_group=P4/mmm pbc="T T T"
Mn 0.000 0.000 0.000
Cr 2.053 2.053 2.391
Co 0.000 2.053 0.000
Co 2.053 0.000 0.000
Au 0.000 0.000 2.391

***

| no. | total DFT energy (no corrections) (eV per atom) |
| --- | --- |
| 1 | -6.453 |
| 2 | -5.745 |